1.
Compound: Cs3B12H12Cl
Source: the Alexandria database
Functional: meta-GGA SCAN
Structure: single point on PBEsol structure

a = 7.0252 Å, b = 7.0252 Å, c = 7.0252 Å
α = 92.77°, β = 92.77°, γ = 92.77°
Last column: nearest neighbours and their distance in Å.
Atoms (fractional coordinates):
Cl: 0.5000 0.5000 0.5000  6 H 3.32, 6 Cs 3.51
H: 0.0981 0.0981 0.3984  1 B 1.21
B: 0.1215 0.8396 0.1215  1 H 1.21
H: 0.7902 0.2743 0.7902  1 B 1.21
B: 0.8785 0.8785 0.1604  1 H 1.21
Cs: 0.5000 0.0000 0.5000  10 H 3.00-3.30
Cs: 0.5000 0.5000 0.0000  10 H 3.00-3.30
B: 0.0578 0.0578 0.2318  1 H 1.21
H: 0.9019 0.6016 0.9019  1 B 1.21
H: 0.2098 0.2098 0.7257  1 B 1.21
B: 0.1215 0.1215 0.8396  1 H 1.21
H: 0.3984 0.0981 0.0981  1 B 1.21
B: 0.8785 0.1604 0.8785  1 H 1.21
H: 0.7257 0.2098 0.2098  1 B 1.21
H: 0.2743 0.7902 0.7902  1 B 1.21
H: 0.9019 0.9019 0.6016  1 B 1.21
H: 0.6016 0.9019 0.9019  1 B 1.21
H: 0.7902 0.7902 0.2743  1 B 1.21
B: 0.1604 0.8785 0.8785  1 H 1.21
B: 0.7682 0.9422 0.9422  1 H 1.21
B: 0.8396 0.1215 0.1215  1 H 1.21
H: 0.0981 0.3984 0.0981  1 B 1.21
B: 0.0578 0.2318 0.0578  1 H 1.21
B: 0.2318 0.0578 0.0578  1 H 1.21
B: 0.9422 0.9422 0.7682  1 H 1.21
Cs: 0.0000 0.5000 0.5000  10 H 3.00-3.30
B: 0.9422 0.7682 0.9422  1 H 1.21
H: 0.2098 0.7257 0.2098  1 B 1.21

## Properties
As for the density: 2.77 g/cm³. The value obtained for the total energy is -9.577 eV per atom.

2.
Compound: CuBCl3
Source: the Alexandria database
Functional: meta-GGA SCAN
Structure: single point on PBEsol structure

a = 4.2888 Å, b = 4.2888 Å, c = 4.2888 Å
α = 90.00°, β = 90.00°, γ = 90.00°
Last column: nearest neighbours and their distance in Å.
Atoms (fractional coordinates):
Cl: 0.0000 0.0000 0.5000  2 B 2.14
Cl: 0.0000 0.5000 0.0000  2 B 2.14
Cu: 0.5000 0.5000 0.5000  12 Cl 3.03
Cl: 0.5000 0.0000 0.0000  2 B 2.14
B: 0.0000 0.0000 0.0000  6 Cl 2.14

## Properties
As for the density: 3.80 g/cm³. The uncorrected formation energy is 370 meV per atom.

- Among the records above, which one has the highest density?
  CuBCl3

- Which value of density does entry 1 give?
  2.77 g/cm³

- The lowest density belongs to which entry?
  Cs3B12H12Cl

- The highest density belongs to which entry?
  CuBCl3